(1)
Mg2CN | PBE | optimized geometry

The structure belongs to space group Fm-3m (No. 225); the cell edges are 5.5418, 5.5418 and 5.5418 Å and the angles 90.00°, 90.00° and 90.00°. Symmetry generates all atoms from Mg at (0.2500, 0.2500, 0.2500), C at (0.0000, 0.0000, 0.0000) and N at (0.0000, 0.0000, 0.5000).

The value obtained for the formation energy without anion corrections is 76.8 kJ per mole of atoms. The energy above the most stable polymorph in this dataset comes out at 1000.8 meV/atom.

---

(2)
Zr2Be3CuPt4 | PBE | optimized geometry

The structure belongs to space group P-4m2 (No. 115); the cell edges are 3.8578, 3.8578 and 10.0523 Å and the angles 90.00°, 90.00° and 90.00°. Symmetry generates all atoms from Zr at (0.0000, 0.5000, 0.2390), Be at (0.0000, 0.5000, 0.8743), Be at (0.5000, 0.5000, 0.5000), Cu at (0.0000, 0.0000, 0.5000), Pt at (0.0000, 0.0000, 0.0000), Pt at (0.0000, 0.5000, 0.6537) and Pt at (0.5000, 0.5000, 0.0000).

Its energy relative to the elements is -15.747 kcal/mol of atoms.

---

(3)
BaH3Rh | PBE | optimized geometry

The structure belongs to space group C2/m (No. 12); the cell edges are 13.3878, 3.8019 and 5.7092 Å and the angles 90.00°, 111.82° and 90.00°. Symmetry generates all atoms from Ba at (0.0963, 0.0000, 0.3339), H at (0.0577, 0.5000, 0.9701), H at (0.0634, 0.5000, 0.6302), H at (0.1828, 0.0000, 0.9106) and Rh at (0.1665, 0.5000, 0.8998).

For the energy, the calculation gives -83.47 eV per cell.

---

(4)
TbCeNiRh | PBE | optimized geometry

The structure belongs to space group F-43m (No. 216); the cell edges are 6.8967, 6.8967 and 6.8967 Å and the angles 90.00°, 90.00° and 90.00°. Symmetry generates all atoms from Tb at (0.0000, 0.0000, 0.0000), Ce at (0.0000, 0.0000, 0.5000), Ni at (0.2500, 0.2500, 0.7500) and Rh at (0.2500, 0.2500, 0.2500).

Its energy relative to the elements is -11.669 kcal/mol of atoms. The energy above the most stable polymorph in this dataset comes out at 90.1 meV/atom.